VASP calculation (PBE-GGA) on a relaxed AcSmCu2Te4 crystal.

## Properties
The calculation puts the uncorrected formation energy at -0.8052 eV/atom. The space-group type is I222, No. 23. The calculation puts the spin magnetization at 0.000 μB/cell. The value obtained for the volume is 31.27 A^3/atom.

The structure in extended XYZ format:
```
8
Lattice="-3.7045 3.9349 4.2909 3.7045 -3.9349 4.2909 3.7045 3.9349 -4.2909" Properties=species:S:1:pos:R:3 pbc="T T T"
Ac 0.0000 0.0000 0.0000
Sm 0.0000 0.0000 4.2909
Cu 3.7045 0.0000 3.0432
Cu 0.0000 3.9349 1.2477
Te 1.8220 2.2830 -1.7664
Te 1.8825 -1.6519 6.0573
Te 1.8825 1.6519 2.5245
Te 1.8220 5.5869 1.7664
```

=====

VASP calculation (PBE-GGA) on a relaxed Hf2In3Ag crystal.

## Properties
The space-group type is P4/mmm, No. 123. The calculation puts the spin magnetization at 0.000 μB/cell. The value obtained for the volume is 21.26 A^3/atom. The formation enthalpy at 0 K comes out at -55 kJ/mol of formula units.

The structure in extended XYZ format:
```
6
Lattice="3.1556 0.0000 0.0000 0.0000 3.1556 0.0000 0.0000 0.0000 12.8084" Properties=species:S:1:pos:R:3 pbc="T T T"
Hf 0.0000 0.0000 2.1905
Hf 0.0000 0.0000 10.6179
In 1.5778 1.5778 0.0000
In 1.5778 1.5778 4.3575
In 1.5778 1.5778 8.4510
Ag 0.0000 0.0000 6.4042
```

=====

Number 1: N(E_F) 0.02 states/eV per atom, uncorrected energy -4.504 eV/atom. Number 2: N(E_F) 0.39 states/eV per atom, uncorrected energy -5.257 eV/atom.